Record 1
# Sr4CaPa3As8

An optimized crystal structure of Sr4CaPa3As8 (PBE-GGA, Alexandria via LeMat-Bulk).

Output
D(E_F) = 0.5996 states/eV per atom
calculated total energy = -5.8264 eV/atom
energy of formation = -1176 meV per atom

The structure in POSCAR format:
```
Sr4CaPa3As8
1.0
4.287 2.475 7.098
-4.287 2.475 7.098
0.000 -4.950 7.098
Sr Ca Pa As
4 1 3 8
Direct
0.000 0.000 0.000
0.000 0.500 0.500
0.500 0.000 0.500
0.500 0.500 0.000
0.500 0.500 0.500
0.000 0.000 0.500
0.000 0.500 0.000
0.500 0.000 0.000
0.225 0.746 0.746
0.239 0.239 0.239
0.254 0.254 0.775
0.254 0.775 0.254
0.746 0.225 0.746
0.746 0.746 0.225
0.761 0.761 0.761
0.775 0.254 0.254
```


Record 2
# CaTb2PaAs4

An optimized crystal structure of CaTb2PaAs4 (PBE-GGA, Alexandria via LeMat-Bulk).

Output
D(E_F) = 0.4739 states/eV per atom
calculated total energy = -6.2637 eV/atom
energy of formation = -1344 meV per atom

The structure in POSCAR format:
```
CaTb2PaAs4
1.0
7.157 0.000 0.000
0.000 4.153 0.000
-2.355 0.000 6.765
Ca Tb Pa As
1 2 1 4
Direct
0.000 0.000 0.000
0.000 0.500 0.500
0.500 0.000 0.500
0.500 0.500 0.000
0.256 0.000 0.753
0.260 0.500 0.249
0.740 0.500 0.751
0.744 0.000 0.247
```


Record 3
# Ca4TbPa3As8

An optimized crystal structure of Ca4TbPa3As8 (PBE-GGA, Alexandria via LeMat-Bulk).

Output
D(E_F) = 0.7750 states/eV per atom
calculated total energy = -6.1130 eV/atom
energy of formation = -1218 meV per atom

The structure in POSCAR format:
```
Ca4TbPa3As8
1.0
4.183 2.415 6.827
-4.183 2.415 6.827
0.000 -4.830 6.827
Ca Tb Pa As
4 1 3 8
Direct
0.000 0.000 0.000
0.000 0.500 0.500
0.500 0.000 0.500
0.500 0.500 0.000
0.500 0.500 0.500
0.000 0.000 0.500
0.000 0.500 0.000
0.500 0.000 0.000
0.239 0.747 0.747
0.245 0.245 0.245
0.253 0.253 0.761
0.253 0.761 0.253
0.747 0.239 0.747
0.747 0.747 0.239
0.755 0.755 0.755
0.761 0.253 0.253
```


Record 4
# Ca2TbPaAs4

An optimized crystal structure of Ca2TbPaAs4 (PBE-GGA, Alexandria via LeMat-Bulk).

Output
D(E_F) = 0.0013 states/eV per atom
calculated total energy = -5.8737 eV/atom
energy of formation = -1283 meV per atom

The structure in POSCAR format:
```
Ca2TbPaAs4
1.0
7.224 0.000 0.000
0.000 4.215 0.000
-2.405 0.000 6.848
Ca Tb Pa As
2 1 1 4
Direct
0.000 0.000 0.000
0.500 0.500 0.000
0.000 0.500 0.500
0.500 0.000 0.500
0.254 0.000 0.734
0.263 0.500 0.269
0.737 0.500 0.731
0.746 0.000 0.266
```


Record 5
# Ca3TbPa2As6

An optimized crystal structure of Ca3TbPa2As6 (PBE-GGA, Alexandria via LeMat-Bulk).

Output
D(E_F) = 0.5655 states/eV per atom
calculated total energy = -6.0427 eV/atom
energy of formation = -1249 meV per atom

The structure in POSCAR format:
```
Ca3TbPa2As6
1.0
3.621 -6.270 0.000
3.621 6.270 0.000
-2.412 0.000 6.828
Ca Tb Pa As
3 1 2 6
Direct
0.000 0.000 0.000
0.335 0.665 0.000
0.665 0.335 0.000
0.500 0.500 0.500
0.167 0.833 0.500
0.833 0.167 0.500
0.081 0.422 0.267
0.237 0.237 0.734
0.422 0.081 0.267
0.578 0.919 0.733
0.763 0.763 0.266
0.919 0.578 0.733
```


Record 6
# CaThPa2As4

An optimized crystal structure of CaThPa2As4 (PBE-GGA, Alexandria via LeMat-Bulk).

Output
D(E_F) = 1.1309 states/eV per atom
calculated total energy = -7.0532 eV/atom
energy of formation = -1177 meV per atom

The structure in POSCAR format:
```
CaThPa2As4
1.0
7.214 0.000 0.000
0.000 4.165 0.000
-2.401 0.000 6.813
Ca Th Pa As
1 1 2 4
Direct
0.000 0.000 0.000
0.500 0.500 0.000
0.000 0.500 0.500
0.500 0.000 0.500
0.244 0.000 0.739
0.253 0.500 0.263
0.747 0.500 0.737
0.756 0.000 0.261
```


Record 7
# Ca2PaTiAs4

An optimized crystal structure of Ca2PaTiAs4 (PBE-GGA, Alexandria via LeMat-Bulk).

Output
D(E_F) = 0.5436 states/eV per atom
calculated total energy = -6.0582 eV/atom
energy of formation = -1059 meV per atom

The structure in POSCAR format:
```
Ca2PaTiAs4
1.0
6.892 0.000 0.000
0.000 4.051 0.000
-2.314 0.000 6.799
Ca Pa Ti As
2 1 1 4
Direct
0.000 0.000 0.000
0.500 0.500 0.000
0.000 0.500 0.500
0.500 0.000 0.500
0.257 0.000 0.728
0.273 0.500 0.281
0.727 0.500 0.719
0.743 0.000 0.272
```


Record 8
# Ca2TmPaAs4

An optimized crystal structure of Ca2TmPaAs4 (PBE-GGA, Alexandria via LeMat-Bulk).

Output
D(E_F) = 0.0008 states/eV per atom
calculated total energy = -5.8462 eV/atom
energy of formation = -1275 meV per atom

The structure in POSCAR format:
```
Ca2TmPaAs4
1.0
7.162 0.000 0.000
0.000 4.194 0.000
-2.393 0.000 6.843
Ca Tm Pa As
2 1 1 4
Direct
0.000 0.000 0.000
0.500 0.500 0.000
0.000 0.500 0.500
0.500 0.000 0.500
0.250 0.000 0.731
0.260 0.500 0.269
0.740 0.500 0.731
0.750 0.000 0.269
```


Record 9
# Ca3TmPa3As8

An optimized crystal structure of Ca3TmPa3As8 (PBE-GGA, Alexandria via LeMat-Bulk).

Output
D(E_F) = 0.0262 states/eV per atom
calculated total energy = -6.1439 eV/atom
energy of formation = -1067 meV per atom

The structure in POSCAR format:
```
Ca3TmPa3As8
1.0
4.163 2.403 6.799
-4.163 2.403 6.799
0.000 -4.807 6.799
Ca Tm Pa As
3 1 3 8
Direct
0.000 0.500 0.500
0.500 0.000 0.500
0.500 0.500 0.000
0.500 0.500 0.500
0.000 0.000 0.500
0.000 0.500 0.000
0.500 0.000 0.000
0.233 0.747 0.747
0.245 0.245 0.245
0.253 0.253 0.767
0.253 0.767 0.253
0.747 0.233 0.747
0.747 0.747 0.233
0.755 0.755 0.755
0.767 0.253 0.253
```


Record 10
# CaTm2PaAs4

An optimized crystal structure of CaTm2PaAs4 (PBE-GGA, Alexandria via LeMat-Bulk).

Output
D(E_F) = 0.5097 states/eV per atom
calculated total energy = -6.2022 eV/atom
energy of formation = -1322 meV per atom

The structure in POSCAR format:
```
CaTm2PaAs4
1.0
7.090 0.000 0.000
0.000 4.112 0.000
-2.329 0.000 6.704
Ca Tm Pa As
1 2 1 4
Direct
0.000 0.000 0.000
0.500 0.000 0.500
0.500 0.500 0.000
0.000 0.500 0.500
0.252 0.000 0.746
0.254 0.500 0.261
0.746 0.500 0.739
0.748 0.000 0.254
```


Record 11
# Ca4TmPa3As8

An optimized crystal structure of Ca4TmPa3As8 (PBE-GGA, Alexandria via LeMat-Bulk).

Output
D(E_F) = 0.7721 states/eV per atom
calculated total energy = -6.0974 eV/atom
energy of formation = -1212 meV per atom

The structure in POSCAR format:
```
Ca4TmPa3As8
1.0
4.168 2.407 6.828
-4.168 2.407 6.828
0.000 -4.813 6.828
Ca Tm Pa As
4 1 3 8
Direct
0.000 0.000 0.000
0.000 0.500 0.500
0.500 0.000 0.500
0.500 0.500 0.000
0.500 0.500 0.500
0.000 0.000 0.500
0.000 0.500 0.000
0.500 0.000 0.000
0.241 0.746 0.746
0.245 0.245 0.245
0.254 0.254 0.759
0.254 0.759 0.254
0.746 0.241 0.746
0.746 0.746 0.241
0.755 0.755 0.755
0.759 0.254 0.254
```


Record 12
# Ca3TmPa2As6

An optimized crystal structure of Ca3TmPa2As6 (PBE-GGA, Alexandria via LeMat-Bulk).

Output
D(E_F) = 0.5576 states/eV per atom
calculated total energy = -6.0221 eV/atom
energy of formation = -1242 meV per atom

The structure in POSCAR format:
```
Ca3TmPa2As6
1.0
3.605 -6.243 0.000
3.605 6.243 0.000
-2.401 0.000 6.828
Ca Tm Pa As
3 1 2 6
Direct
0.000 0.000 0.000
0.334 0.666 0.000
0.666 0.334 0.000
0.500 0.500 0.500
0.167 0.833 0.500
0.833 0.167 0.500
0.085 0.423 0.268
0.240 0.240 0.733
0.423 0.085 0.268
0.577 0.915 0.732
0.760 0.760 0.267
0.915 0.577 0.732
```


Record 13
# Ca3U2PaAs6

An optimized crystal structure of Ca3U2PaAs6 (PBE-GGA, Alexandria via LeMat-Bulk).

Output
D(E_F) = 1.4319 states/eV per atom
calculated total energy = -6.5309 eV/atom
energy of formation = -1033 meV per atom

The structure in POSCAR format:
```
Ca3U2PaAs6
1.0
3.607 -6.248 0.000
3.607 6.248 0.000
-2.404 0.000 6.861
Ca U Pa As
3 2 1 6
Direct
0.000 0.000 0.000
0.333 0.667 0.000
0.667 0.333 0.000
0.167 0.833 0.500
0.833 0.167 0.500
0.500 0.500 0.500
0.091 0.422 0.267
0.245 0.245 0.732
0.422 0.091 0.267
0.578 0.909 0.733
0.755 0.755 0.268
0.909 0.578 0.733
```


Record 14
# CaU2PaAs4

An optimized crystal structure of CaU2PaAs4 (PBE-GGA, Alexandria via LeMat-Bulk).

Output
D(E_F) = 1.5746 states/eV per atom
calculated total energy = -7.5083 eV/atom
energy of formation = -924 meV per atom

The structure in POSCAR format:
```
CaU2PaAs4
1.0
7.076 0.000 0.000
0.000 4.092 0.000
-2.365 0.000 6.838
Ca U Pa As
1 2 1 4
Direct
0.000 0.000 0.000
0.000 0.500 0.500
0.500 0.000 0.500
0.500 0.500 0.000
0.253 0.000 0.749
0.258 0.500 0.256
0.742 0.500 0.744
0.747 0.000 0.251
```


Record 15
# Ca4U3PaAs8

An optimized crystal structure of Ca4U3PaAs8 (PBE-GGA, Alexandria via LeMat-Bulk).

Output
D(E_F) = 1.5219 states/eV per atom
calculated total energy = -6.5527 eV/atom
energy of formation = -1017 meV per atom

The structure in POSCAR format:
```
Ca4U3PaAs8
1.0
4.162 2.403 6.865
-4.162 2.403 6.865
0.000 -4.806 6.865
Ca U Pa As
4 3 1 8
Direct
0.000 0.000 0.000
0.000 0.500 0.500
0.500 0.000 0.500
0.500 0.500 0.000
0.000 0.000 0.500
0.000 0.500 0.000
0.500 0.000 0.000
0.500 0.500 0.500
0.244 0.244 0.244
0.245 0.744 0.744
0.256 0.256 0.755
0.256 0.755 0.256
0.744 0.245 0.744
0.744 0.744 0.245
0.755 0.256 0.256
0.756 0.756 0.756
```


Record 16
# Ca2UPaAs4

An optimized crystal structure of Ca2UPaAs4 (PBE-GGA, Alexandria via LeMat-Bulk).

Output
D(E_F) = 1.3842 states/eV per atom
calculated total energy = -6.4846 eV/atom
energy of formation = -1061 meV per atom

The structure in POSCAR format:
```
Ca2UPaAs4
1.0
7.216 0.000 0.000
0.000 4.172 0.000
-2.414 0.000 6.861
Ca U Pa As
2 1 1 4
Direct
0.000 0.000 0.000
0.500 0.500 0.000
0.000 0.500 0.500
0.500 0.000 0.500
0.246 0.000 0.733
0.257 0.500 0.267
0.743 0.500 0.733
0.754 0.000 0.267
```


Record 17
# Ca4YPa3As8

An optimized crystal structure of Ca4YPa3As8 (PBE-GGA, Alexandria via LeMat-Bulk).

Output
D(E_F) = 0.7738 states/eV per atom
calculated total energy = -6.2296 eV/atom
energy of formation = -1220 meV per atom

The structure in POSCAR format:
```
Ca4YPa3As8
1.0
4.180 2.413 6.829
-4.180 2.413 6.829
0.000 -4.826 6.829
Ca Y Pa As
4 1 3 8
Direct
0.000 0.000 0.000
0.000 0.500 0.500
0.500 0.000 0.500
0.500 0.500 0.000
0.500 0.500 0.500
0.000 0.000 0.500
0.000 0.500 0.000
0.500 0.000 0.000
0.239 0.747 0.747
0.245 0.245 0.245
0.253 0.253 0.761
0.253 0.761 0.253
0.747 0.239 0.747
0.747 0.747 0.239
0.755 0.755 0.755
0.761 0.253 0.253
```


Record 18
# Ca3Y2PaAs6

An optimized crystal structure of Ca3Y2PaAs6 (PBE-GGA, Alexandria via LeMat-Bulk).

Output
D(E_F) = 0.6862 states/eV per atom
calculated total energy = -5.9632 eV/atom
energy of formation = -1269 meV per atom

The structure in POSCAR format:
```
Ca3Y2PaAs6
1.0
3.623 -6.282 0.000
3.623 6.282 0.000
-2.420 0.000 6.847
Ca Y Pa As
3 2 1 6
Direct
0.000 0.000 0.000
0.331 0.669 0.000
0.669 0.331 0.000
0.167 0.833 0.500
0.833 0.167 0.500
0.500 0.500 0.500
0.096 0.422 0.265
0.252 0.252 0.735
0.422 0.096 0.265
0.578 0.904 0.735
0.748 0.748 0.265
0.904 0.578 0.735
```


Record 19
# CaYPa2As4

An optimized crystal structure of CaYPa2As4 (PBE-GGA, Alexandria via LeMat-Bulk).

Output
D(E_F) = 1.1195 states/eV per atom
calculated total energy = -6.9709 eV/atom
energy of formation = -1214 meV per atom

The structure in POSCAR format:
```
CaYPa2As4
1.0
-2.912 2.912 5.861
2.912 -2.912 5.861
2.912 2.912 -5.861
Ca Y Pa As
1 1 2 4
Direct
0.000 0.000 0.000
0.250 0.750 0.500
0.500 0.500 0.000
0.750 0.250 0.500
0.254 0.254 0.000
0.503 0.003 0.500
0.746 0.746 0.000
0.997 0.497 0.500
```


Record 20
# CaY2PaAs4

An optimized crystal structure of CaY2PaAs4 (PBE-GGA, Alexandria via LeMat-Bulk).

Output
D(E_F) = 0.5083 states/eV per atom
calculated total energy = -6.7303 eV/atom
energy of formation = -1352 meV per atom

The structure in POSCAR format:
```
CaY2PaAs4
1.0
7.148 0.000 0.000
0.000 4.146 0.000
-2.350 0.000 6.751
Ca Y Pa As
1 2 1 4
Direct
0.000 0.000 0.000
0.500 0.000 0.500
0.500 0.500 0.000
0.000 0.500 0.500
0.248 0.000 0.744
0.249 0.500 0.260
0.751 0.500 0.740
0.752 0.000 0.256
```